PBE BaMnSe2, relaxed; formation energy without anion corrections = -789.4 meV per atom
1.0
4.099 -0.103 0.000
-1.756 3.705 0.000
0.000 0.000 7.873
Se Mn Ba
2 1 1
Cartesian
0.000 0.000 4.233
0.000 0.000 7.576
1.171 1.801 5.905
1.171 1.801 1.968

=====

PBE Ac2Hg2N, relaxed; formation energy without anion corrections = -659.0 meV per atom
1.0
-2.649 2.390 2.202
-1.162 -3.350 2.238
14.306 3.761 9.133
Hg Ac N
4 4 2
Cartesian
1.781 -1.050 3.281
9.458 0.981 10.309
6.657 1.786 10.059
3.838 1.016 3.514
-0.340 1.456 2.003
7.185 1.901 6.578
3.310 0.900 6.995
10.092 4.216 11.553
4.876 2.836 6.778
-1.905 -0.480 2.220

=====

PBE LaSbRu, relaxed; formation energy without anion corrections = -463.4 meV per atom
1.0
4.762 0.000 0.000
2.381 4.124 0.000
2.381 1.375 3.888
La Ru Sb
1 1 1
Cartesian
4.762 2.749 1.944
7.143 4.124 2.916
0.000 0.000 0.000

=====

TmMg3Fe8: relaxed, PBE.

Geometry as POSCAR:
```
TmMg3Fe8
1.0
-2.672 -1.686 3.823
0.579 -4.672 1.562
5.062 0.297 6.887
Fe Mg Tm
8 3 1
Cartesian
1.247 -3.410 9.020
0.298 -5.072 4.407
3.312 -4.090 10.163
2.876 -4.905 7.888
-1.327 -3.579 5.537
0.009 -2.736 3.626
1.537 -5.750 9.803
1.822 -1.062 4.023
5.024 0.281 6.853
1.531 -3.011 6.177
3.651 -2.122 8.051
0.059 -5.455 7.289
```

=====

| no. | calculated total energy (Ry/atom) |
| --- | --- |
| 1 | -0.390 |
| 2 | -0.300 |
| 3 | -0.483 |
| 4 | -0.469 |